# Sm2CoOsO8 | the Alexandria database | PBE+U | relaxed
# * calculated volume: 13.3 Å³/atom
# * energy: -7.379 eV per atom
# * magnetic moment: 2.973 μB per cell
data_Sm2CoOsO8
_chemical_formula_sum 'Sm2 Co1 Os1 O8'
_cell_length_a 4.577
_cell_length_b 4.937
_cell_length_c 7.097
_cell_angle_alpha 92.72
_cell_angle_beta 90.31
_cell_angle_gamma 95.58
_symmetry_space_group_name_H-M 'P -1'
_symmetry_Int_Tables_number 2
loop_
_symmetry_equiv_pos_as_xyz
'x,y,z'
'-x,-y,-z'
loop_
_atom_site_label
_atom_site_fract_x
_atom_site_fract_y
_atom_site_fract_z
_atom_site_occupancy
Sm1 0.093 0.029 0.246 1
Co1 0.500 0.500 0.000 1
Os1 0.500 0.500 0.500 1
O1 0.181 0.253 0.541 1
O2 0.221 0.223 0.969 1
O3 0.310 0.622 0.280 1
O4 0.361 0.760 0.682 1